[1]
4
Lattice="-1.870 1.870 4.664 1.870 -1.870 4.664 1.870 1.870 -4.664" Properties=species:S:1:pos:R:3 comment="ScTc2W (PBE, optimized geometry)" spacegroup="I-4m2, No. 119" dft_energy_ev_per_atom=-9.855 formation_energy_ev_per_atom=0.15 dos_at_fermi_per_ev_atom=1.09 total_magnetization_mub_per_cell=0.0 relative_energy_ev_per_fu=1.49 pbc="T T T"
Sc 0.000 0.000 0.000
Tc 1.870 0.000 2.332
Tc 0.000 0.000 4.664
W 0.000 1.870 2.332

[2]
10
Lattice="8.108 0.000 0.000 0.000 8.108 0.000 0.000 0.000 3.176" Properties=species:S:1:pos:R:3 comment="LaGa2Au2 (PBE, optimized geometry)" spacegroup="P4/mbm, No. 127" dft_energy_ev_per_atom=-3.872 formation_energy_ev_per_atom=-0.37 dos_at_fermi_per_ev_atom=0.68 total_magnetization_mub_per_cell=0.2 pbc="T T T"
La 0.000 0.000 0.000
La 4.054 4.054 0.000
Ga 1.053 3.001 0.000
Ga 3.001 7.055 0.000
Ga 5.107 1.053 0.000
Ga 7.055 5.107 0.000
Au 1.314 5.368 1.588
Au 2.740 1.314 1.588
Au 5.368 6.794 1.588
Au 6.794 2.740 1.588